(1)
DFT (GGA-PBEsol) results for a relaxed structure of NiAu2Br.

Values from the calculation:
* calculated volume: 141.1 Å³ per cell
* total magnetization: 0.664 μB/cell
* offset from the most stable computed form: 0.90 eV/f.u.
* formation energy (no corrections): 458.3 meV/atom

Cell: 5.3022 10.3162 3.2468 Å, 90.00 127.42 90.00°
Space group C2/m (No. 12)
One atom of each set of equivalent atoms:
1 Ni 0.0000 0.0000 0.0000 x2
2 Au 0.2500 0.2500 0.5000 x4
3 Br 0.0000 0.5000 0.0000 x2

=====

(2)
DFT (GGA-PBEsol) results for a relaxed structure of NiAu2Br.

Values from the calculation:
* calculated volume: 149.5 Å³ per cell
* total magnetization: 0.000 μB/cell
* offset from the most stable computed form: 0.00 eV/f.u.
* formation energy (no corrections): 234.0 meV/atom

Cell: 2.8528 4.3175 12.1364 Å, 90.00 90.00 90.00°
Space group Imm2 (No. 44)
One atom of each set of equivalent atoms:
1 Ni 0.0000 0.0000 0.0000 x2
2 Au 0.0000 0.0000 0.5484 x2
3 Au 0.0000 0.5000 0.6849 x2
4 Br 0.0000 0.5000 0.3445 x2

=====

(3)
DFT (GGA-PBEsol) results for a relaxed structure of NiAu2Br.

Values from the calculation:
* calculated volume: 68.7 Å³ per cell
* total magnetization: 0.447 μB/cell
* offset from the most stable computed form: 0.28 eV/f.u.
* formation energy (no corrections): 302.9 meV/atom

Cell: 2.9894 2.9894 7.6932 Å, 90.00 90.00 90.00°
Space group P4mm (No. 99)
One atom of each set of equivalent atoms:
1 Ni 0.0000 0.0000 0.0000 x1
2 Au 0.0000 0.0000 0.4634 x1
3 Au 0.5000 0.5000 0.2177 x1
4 Br 0.5000 0.5000 0.8109 x1

=====

(4)
DFT (GGA-PBEsol) results for a relaxed structure of PAuBrO2.

Values from the calculation:
* calculated volume: 73.7 Å³ per cell
* total magnetization: 0.000 μB/cell
* formation energy (no corrections): 647.3 meV/atom

Cell: 3.6996 3.6996 5.3815 Å, 90.00 90.00 90.00°
Space group P4/mmm (No. 123)
One atom of each set of equivalent atoms:
1 P 0.0000 0.0000 0.0000 x1
2 Au 0.5000 0.5000 0.0000 x1
3 Br 0.0000 0.0000 0.5000 x1
4 O 0.0000 0.5000 0.5000 x2

=====

(5)
DFT (GGA-PBEsol) results for a relaxed structure of PAuBr2.

Values from the calculation:
* calculated volume: 90.5 Å³ per cell
* total magnetization: 0.000 μB/cell
* offset from the most stable computed form: 1.58 eV/f.u.
* formation energy (no corrections): 417.6 meV/atom

Cell: 3.1902 3.8386 7.3867 Å, 90.00 90.62 90.00°
Space group P2/m (No. 10)
One atom of each set of equivalent atoms:
1 P 0.0000 0.0000 0.0000 x1
2 Au 0.0000 0.0000 0.5000 x1
3 Br 0.0044 0.5000 0.2408 x2

=====

(6)
DFT (GGA-PBEsol) results for a relaxed structure of PAuBr2.

Values from the calculation:
* calculated volume: 96.5 Å³ per cell
* total magnetization: 0.001 μB/cell
* offset from the most stable computed form: 0.00 eV/f.u.
* formation energy (no corrections): 22.3 meV/atom

Cell: 3.4242 3.4242 8.2303 Å, 90.00 90.00 90.00°
Space group P4mm (No. 99)
One atom of each set of equivalent atoms:
1 P 0.0000 0.0000 0.0000 x1
2 Au 0.5000 0.5000 0.9108 x1
3 Br 0.0000 0.0000 0.2662 x1
4 Br 0.5000 0.5000 0.5983 x1

=====

(7)
DFT (GGA-PBEsol) results for a relaxed structure of PAu3Br.

Values from the calculation:
* calculated volume: 119.8 Å³ per cell
* total magnetization: 0.619 μB/cell
* formation energy (no corrections): 1432.1 meV/atom

Cell: 4.9302 4.9302 4.9302 Å, 90.00 90.00 90.00°
Space group Pm-3m (No. 221)
One atom of each set of equivalent atoms:
1 P 0.0000 0.0000 0.0000 x1
2 Au 0.0000 0.5000 0.5000 x3
3 Br 0.5000 0.5000 0.5000 x1

=====

(8)
DFT (GGA-PBEsol) results for a relaxed structure of PAuSe2Br.

Values from the calculation:
* calculated volume: 111.0 Å³ per cell
* total magnetization: 0.000 μB/cell
* formation energy (no corrections): 612.2 meV/atom

Cell: 4.8158 4.8158 4.7857 Å, 90.00 90.00 90.00°
Space group P4/mmm (No. 123)
One atom of each set of equivalent atoms:
1 P 0.0000 0.0000 0.0000 x1
2 Au 0.5000 0.5000 0.5000 x1
3 Se 0.0000 0.5000 0.0000 x2
4 Br 0.0000 0.0000 0.5000 x1